No. 1
This record from the Alexandria database describes a geometry-optimized MgPtSe structure. The functional is PBE.

The value obtained for the spin magnetization is 0.00 μB per cell. Its uncorrected formation energy is -0.66 eV per atom. The final energy comes out at -4.363 eV per atom. For the density of states at the Fermi level, the calculation gives 0.92 states/eV/cell.

a b c (Å): 3.708 5.699 5.626
angles (deg): 90.00 90.07 90.00
Space group P2/c (No. 13)
One atom of each set of equivalent atoms:
Mg 0.000 0.225 0.250 (multiplicity 2)
Pt 0.500 0.500 0.000 (multiplicity 2)
Se 0.500 0.148 0.750 (multiplicity 2)

---

No. 2
This record from the Alexandria database describes a geometry-optimized MgPtSe structure. The functional is PBE.

The value obtained for the spin magnetization is 0.00 μB per cell. Its uncorrected formation energy is -0.52 eV per atom. The final energy comes out at -4.230 eV per atom. For the density of states at the Fermi level, the calculation gives 0.86 states/eV/cell.

a b c (Å): 7.200 3.734 8.382
angles (deg): 90.00 90.00 90.00
Space group Pnma (No. 62)
One atom of each set of equivalent atoms:
Mg 0.031 0.250 0.167 (multiplicity 4)
Pt 0.247 0.750 0.392 (multiplicity 4)
Se 0.166 0.250 0.608 (multiplicity 4)

---

No. 3
This record from the Alexandria database describes a geometry-optimized MgPtSe structure. The functional is PBE.

The value obtained for the spin magnetization is 0.00 μB per cell. Its uncorrected formation energy is -0.42 eV per atom. The final energy comes out at -4.131 eV per atom. For the density of states at the Fermi level, the calculation gives 1.62 states/eV/cell.

a b c (Å): 4.3022 4.3022 7.2431
angles (deg): 90.00 90.00 120.00
Space group P6_3/mmc (No. 194)
One atom of each set of equivalent atoms:
Mg 0.0000 0.0000 0.0000 (multiplicity 2)
Pt 0.3333 0.6667 0.2500 (multiplicity 2)
Se 0.3333 0.6667 0.7500 (multiplicity 2)

---

No. 4
This record from the Alexandria database describes a geometry-optimized MgPtSe2 structure. The functional is PBE.

The value obtained for the spin magnetization is 0.00 μB per cell. Its uncorrected formation energy is -0.25 eV per atom. The final energy comes out at -3.903 eV per atom. For the density of states at the Fermi level, the calculation gives 1.80 states/eV/cell.

a b c (Å): 2.946 2.946 9.497
angles (deg): 90.00 90.00 90.00
Space group P4mm (No. 99)
One atom of each set of equivalent atoms:
Mg 0.000 0.000 0.000 (multiplicity 1)
Pt 0.500 0.500 0.192 (multiplicity 1)
Se 0.000 0.000 0.393 (multiplicity 1)
Se 0.500 0.500 0.788 (multiplicity 1)

---

No. 5
This record from the Alexandria database describes a geometry-optimized Mg2PtSe structure. The functional is PBE.

The value obtained for the spin magnetization is 0.00 μB per cell. Its uncorrected formation energy is -0.73 eV per atom. The final energy comes out at -3.910 eV per atom. For the density of states at the Fermi level, the calculation gives 0.63 states/eV/cell.

a b c (Å): 3.412 3.412 6.107
angles (deg): 90.00 90.00 90.00
Space group P4/mmm (No. 123)
One atom of each set of equivalent atoms:
Mg 0.000 0.000 0.239 (multiplicity 2)
Pt 0.500 0.500 0.000 (multiplicity 1)
Se 0.500 0.500 0.500 (multiplicity 1)

---

No. 6
This record from the Alexandria database describes a geometry-optimized MgPtSe structure. The functional is PBE.

The value obtained for the spin magnetization is 0.00 μB per cell. Its uncorrected formation energy is -0.48 eV per atom. The final energy comes out at -4.184 eV per atom. For the density of states at the Fermi level, the calculation gives 1.71 states/eV/cell.

a b c (Å): 5.787 7.265 5.366
angles (deg): 90.00 90.00 90.00
Space group Pnma (No. 62)
One atom of each set of equivalent atoms:
Mg 0.153 0.250 0.152 (multiplicity 4)
Pt 0.202 0.750 0.169 (multiplicity 4)
Se 0.000 0.000 0.500 (multiplicity 4)

---

No. 7
This record from the Alexandria database describes a geometry-optimized MgPtSe2 structure. The functional is PBE.

The value obtained for the spin magnetization is 0.00 μB per cell. Its uncorrected formation energy is -0.26 eV per atom. The final energy comes out at -3.909 eV per atom. For the density of states at the Fermi level, the calculation gives 3.64 states/eV/cell.

a b c (Å): 3.606 3.622 7.473
angles (deg): 90.00 90.00 90.00
Space group Pmmm (No. 47)
One atom of each set of equivalent atoms:
Mg 0.000 0.000 0.000 (multiplicity 1)
Pt 0.500 0.000 0.500 (multiplicity 1)
Se 0.000 0.500 0.500 (multiplicity 1)
Se 0.500 0.500 0.000 (multiplicity 1)

---

No. 8
This record from the Alexandria database describes a geometry-optimized MgPt4Se structure. The functional is PBE.

The value obtained for the spin magnetization is 0.00 μB per cell. Its uncorrected formation energy is -0.06 eV per atom. The final energy comes out at -4.930 eV per atom. For the density of states at the Fermi level, the calculation gives 19.05 states/eV/cell.

a b c (Å): 7.540 7.540 7.540
angles (deg): 90.00 90.00 90.00
Space group F-43m (No. 216)
One atom of each set of equivalent atoms:
Mg 0.000 0.000 0.000 (multiplicity 4)
Pt 0.125 0.125 0.625 (multiplicity 16)
Se 0.250 0.250 0.250 (multiplicity 4)

---

No. 9
This record from the Alexandria database describes a geometry-optimized MgPtSe structure. The functional is PBE.

The value obtained for the spin magnetization is 0.00 μB per cell. Its uncorrected formation energy is -0.69 eV per atom. The final energy comes out at -4.401 eV per atom. For the density of states at the Fermi level, the calculation gives 0.05 states/eV/cell.

a b c (Å): 5.688 3.778 5.719
angles (deg): 90.00 95.29 90.00
Space group P2_1/m (No. 11)
One atom of each set of equivalent atoms:
Mg 0.156 0.250 0.296 (multiplicity 2)
Pt 0.378 0.750 0.603 (multiplicity 2)
Se 0.187 0.250 0.818 (multiplicity 2)

---

No. 10
This record from the Alexandria database describes a geometry-optimized MgPtSe structure. The functional is PBE.

The value obtained for the spin magnetization is 0.00 μB per cell. Its uncorrected formation energy is -0.31 eV per atom. The final energy comes out at -4.018 eV per atom. For the density of states at the Fermi level, the calculation gives 4.82 states/eV/cell.

a b c (Å): 10.474 3.214 6.993
angles (deg): 90.00 90.00 90.00
Space group Amm2 (No. 38)
One atom of each set of equivalent atoms:
Mg 0.158 0.000 0.000 (multiplicity 4)
Pt 0.000 0.000 0.694 (multiplicity 2)
Pt 0.500 0.000 0.613 (multiplicity 2)
Se 0.346 0.000 0.341 (multiplicity 4)

---

No. 11
This record from the Alexandria database describes a geometry-optimized MgPtSe structure. The functional is PBE.

The value obtained for the spin magnetization is 0.00 μB per cell. Its uncorrected formation energy is -0.46 eV per atom. The final energy comes out at -4.162 eV per atom. For the density of states at the Fermi level, the calculation gives 1.04 states/eV/cell.

a b c (Å): 2.909 3.832 5.349
angles (deg): 90.00 90.00 90.00
Space group Pmm2 (No. 25)
One atom of each set of equivalent atoms:
Mg 0.000 0.000 0.000 (multiplicity 1)
Pt 0.500 0.500 0.766 (multiplicity 1)
Se 0.500 0.500 0.296 (multiplicity 1)

---

No. 12
This record from the Alexandria database describes a geometry-optimized MgPtSe structure. The functional is PBE.

The value obtained for the spin magnetization is 0.00 μB per cell. Its uncorrected formation energy is -0.70 eV per atom. The final energy comes out at -4.403 eV per atom. For the density of states at the Fermi level, the calculation gives 1.85 states/eV/cell.

a b c (Å): 3.841 4.158 8.259
angles (deg): 89.67 89.92 90.00
Space group P-1 (No. 2)
One atom of each set of equivalent atoms:
Mg 0.250 0.002 0.358 (multiplicity 2)
Pt 0.250 0.499 0.616 (multiplicity 2)
Se 0.251 0.503 0.174 (multiplicity 2)